Entry 1:
CrTePt2 | GGA-PBE | relaxed

Unit cell a=4.617 b=4.617 c=4.617 alpha=60.00 beta=60.00 gamma=60.00
Atoms (fractional coordinates):
Cr 0.000 0.000 0.000
Te 0.750 0.750 0.750
Pt 0.250 0.250 0.250
Pt 0.500 0.500 0.500

* theoretical density: 13.591 g/cm³
* E: -6.09 eV per atom
* magnetic moment: 3.48 μB/cell
* energy relative to the elements, uncorrected: 11.50 kJ/mol of atoms

---

Entry 2:
Dy2Ho3PuS6 | GGA-PBE | relaxed

Unit cell a=8.725 b=8.725 c=7.831 alpha=103.01 beta=103.01 gamma=25.73
Atoms (fractional coordinates):
Dy 0.164 0.164 0.329
Dy 0.836 0.836 0.671
Ho 0.165 0.165 0.836
Ho 0.500 0.500 0.500
Ho 0.835 0.835 0.164
Pu 0.500 0.500 0.000
S 0.001 0.001 0.746
S 0.331 0.331 0.916
S 0.333 0.333 0.415
S 0.667 0.667 0.585
S 0.669 0.669 0.084
S 0.999 0.999 0.254

* theoretical density: 8.284 g/cm³
* E: -7.14 eV per atom
* magnetic moment: 5.91 μB/cell
* energy relative to the elements, uncorrected: -190.18 kJ/mol of atoms

---

Entry 3:
Tb4DyPu3S8 | GGA-PBE | relaxed

Unit cell a=7.882 b=7.882 c=7.882 alpha=59.75 beta=59.75 gamma=59.75
Atoms (fractional coordinates):
Tb 0.000 0.000 0.000
Tb 0.000 0.500 0.500
Tb 0.500 0.000 0.500
Tb 0.500 0.500 0.000
Dy 0.500 0.500 0.500
Pu 0.000 0.000 0.500
Pu 0.000 0.500 0.000
Pu 0.500 0.000 0.000
S 0.250 0.250 0.250
S 0.251 0.251 0.748
S 0.251 0.748 0.251
S 0.252 0.749 0.749
S 0.748 0.251 0.251
S 0.749 0.252 0.749
S 0.749 0.749 0.252
S 0.750 0.750 0.750

* theoretical density: 8.618 g/cm³
* E: -8.14 eV per atom
* magnetic moment: 17.10 μB/cell
* energy relative to the elements, uncorrected: -187.53 kJ/mol of atoms

---

Entry 4:
Na2NpCdO6 | GGA-PBE | relaxed

Unit cell a=5.756 b=5.867 c=9.988 alpha=90.00 beta=124.83 gamma=90.00
Atoms (fractional coordinates):
Na 0.235 0.044 0.245
Na 0.235 0.456 0.745
Na 0.765 0.544 0.255
Na 0.765 0.956 0.755
Np 0.500 0.000 0.000
Np 0.500 0.500 0.500
Cd 0.000 0.000 0.500
Cd 0.000 0.500 0.000
O 0.168 0.185 0.953
O 0.168 0.315 0.453
O 0.262 0.722 0.940
O 0.262 0.778 0.440
O 0.369 0.042 0.768
O 0.369 0.458 0.268
O 0.631 0.542 0.732
O 0.631 0.958 0.232
O 0.738 0.222 0.560
O 0.738 0.278 0.060
O 0.832 0.685 0.547
O 0.832 0.815 0.047

* theoretical density: 5.895 g/cm³
* E: -6.48 eV per atom
* magnetic moment: 0.00 μB/cell
* energy relative to the elements, uncorrected: -179.17 kJ/mol of atoms

---

Entry 5:
LaZnHg2 | GGA-PBE | relaxed

Unit cell a=4.546 b=4.738 c=4.779 alpha=90.00 beta=90.00 gamma=90.00
Atoms (fractional coordinates):
La 0.000 0.000 0.000
Zn 0.000 0.500 0.500
Hg 0.500 0.000 0.500
Hg 0.500 0.500 0.000

* theoretical density: 9.768 g/cm³
* E: -1.98 eV per atom
* ΔH_f (0 K): -0.28 eV/atom
* magnetic moment: 0.00 μB/cell

---

Entry 6:
TmAlCuRh | GGA-PBE | relaxed

Unit cell a=4.548 b=4.548 c=4.548 alpha=60.00 beta=60.00 gamma=60.00
Atoms (fractional coordinates):
Tm 0.000 0.000 0.000
Al 0.500 0.500 0.500
Cu 0.750 0.750 0.750
Rh 0.250 0.250 0.250

* theoretical density: 9.047 g/cm³
* E: -5.51 eV per atom
* ΔH_f (0 K): -0.60 eV/atom
* magnetic moment: 0.00 μB/cell

---

Entry 7:
Pr6Nd4Dy | GGA-PBE | relaxed

Unit cell a=9.996 b=9.996 c=9.996 alpha=140.48 beta=140.48 gamma=57.13
Atoms (fractional coordinates):
Pr 0.000 0.500 0.500
Pr 0.194 0.194 0.644
Pr 0.451 0.806 0.000
Pr 0.500 0.000 0.500
Pr 0.549 0.549 0.356
Pr 0.806 0.451 0.000
Nd 0.012 0.634 0.000
Nd 0.366 0.366 0.378
Nd 0.634 0.012 0.000
Nd 0.988 0.988 0.622
Dy 0.000 0.000 0.000

* theoretical density: 6.562 g/cm³
* E: -4.49 eV per atom
* ΔH_f (0 K): 0.27 eV/atom
* magnetic moment: 0.00 μB/cell

---

Entry 8:
CeSiPt6 | GGA-PBE | relaxed

Unit cell a=7.029 b=7.029 c=7.029 alpha=45.60 beta=45.60 gamma=45.60
Atoms (fractional coordinates):
Ce 0.000 0.000 0.000
Si 0.500 0.500 0.500
Pt 0.067 0.580 0.580
Pt 0.420 0.420 0.933
Pt 0.420 0.933 0.420
Pt 0.580 0.067 0.580
Pt 0.580 0.580 0.067
Pt 0.933 0.420 0.420

* theoretical density: 13.758 g/cm³
* E: -6.51 eV per atom
* magnetic moment: 0.26 μB/cell
* energy relative to the elements, uncorrected: -54.09 kJ/mol of atoms

---

Entry 9:
LaRe5 | GGA-PBE | relaxed

Unit cell a=5.336 b=5.336 c=4.501 alpha=90.00 beta=90.00 gamma=120.00
Atoms (fractional coordinates):
La 0.000 0.000 0.000
Re 0.000 0.500 0.500
Re 0.333 0.667 0.000
Re 0.500 0.000 0.500
Re 0.500 0.500 0.500
Re 0.667 0.333 0.000

* theoretical density: 16.009 g/cm³
* E: -10.95 eV per atom
* ΔH_f (0 K): 0.25 eV/atom
* energy above the lowest structure with this stoichiometry: 0 meV per atom
* magnetic moment: 0.00 μB/cell

---

Entry 10:
YPb2F11 | GGA-PBE | relaxed

Unit cell a=8.441 b=8.441 c=8.441 alpha=123.20 beta=105.62 gamma=100.55
Atoms (fractional coordinates):
Y 0.250 0.250 0.000
Y 0.750 0.750 0.000
Pb 0.182 0.642 0.824
Pb 0.318 0.142 0.459
Pb 0.682 0.858 0.541
Pb 0.818 0.358 0.176
F 0.000 0.500 0.500
F 0.035 0.955 0.276
F 0.064 0.363 0.155
F 0.180 0.455 0.920
F 0.208 0.909 0.845
F 0.211 0.372 0.583
F 0.289 0.872 0.162
F 0.292 0.137 0.701
F 0.320 0.241 0.276
F 0.436 0.591 0.299
F 0.465 0.741 0.920
F 0.500 0.000 0.500
F 0.535 0.259 0.080
F 0.564 0.409 0.701
F 0.680 0.759 0.724
F 0.708 0.863 0.299
F 0.711 0.128 0.838
F 0.789 0.628 0.417
F 0.792 0.091 0.155
F 0.820 0.545 0.080
F 0.936 0.637 0.845
F 0.965 0.045 0.724

* theoretical density: 5.352 g/cm³
* E: -4.96 eV per atom
* magnetic moment: 0.00 μB/cell
* energy relative to the elements, uncorrected: -240.65 kJ/mol of atoms

---

Entry 11:
PmDyHo | GGA-PBE | relaxed

Unit cell a=3.517 b=5.346 c=10.438 alpha=90.00 beta=99.70 gamma=90.00
Atoms (fractional coordinates):
Pm 0.045 0.250 0.087
Pm 0.955 0.750 0.913
Dy 0.209 0.250 0.415
Dy 0.791 0.750 0.585
Ho 0.376 0.250 0.756
Ho 0.624 0.750 0.244

* theoretical density: 8.111 g/cm³
* E: -4.58 eV per atom
* ΔH_f (0 K): 0.06 eV/atom
* energy above the lowest structure with this stoichiometry: 41 meV per atom
* magnetic moment: 0.00 μB/cell

---

Entry 12:
CeAgP2 | GGA-PBE | relaxed

Unit cell a=5.849 b=5.849 c=5.849 alpha=42.25 beta=42.25 gamma=42.25
Atoms (fractional coordinates):
Ce 0.000 0.000 0.000
Ag 0.500 0.500 0.500
P 0.246 0.246 0.246
P 0.754 0.754 0.754

* theoretical density: 6.285 g/cm³
* E: -5.44 eV per atom
* ΔH_f (0 K): -0.53 eV/atom
* magnetic moment: 0.00 μB/cell

---

What did the second record say?
Dy2Ho3PuS6 | GGA-PBE | relaxed

Unit cell a=8.725 b=8.725 c=7.831 alpha=103.01 beta=103.01 gamma=25.73
Atoms (fractional coordinates):
Dy 0.164 0.164 0.329
Dy 0.836 0.836 0.671
Ho 0.165 0.165 0.836
Ho 0.500 0.500 0.500
Ho 0.835 0.835 0.164
Pu 0.500 0.500 0.000
S 0.001 0.001 0.746
S 0.331 0.331 0.916
S 0.333 0.333 0.415
S 0.667 0.667 0.585
S 0.669 0.669 0.084
S 0.999 0.999 0.254

* theoretical density: 8.284 g/cm³
* E: -7.14 eV per atom
* magnetic moment: 5.91 μB/cell
* energy relative to the elements, uncorrected: -190.18 kJ/mol of atoms